Entry 1:
Entry from the Alexandria database: crystalline AcDyY3 at its relaxed geometry (PBE).

Calculated values
ρ, Mg/m³: 6.008
Raw total energy, eV per atom: -5.457
Space group: C2/m
D(E_F), states/eV/cell: 16.68

Unit cell a=9.536 b=9.536 c=8.643 alpha=111.50 beta=111.50 gamma=29.92
Atoms (fractional coordinates):
Ac 0.116 0.116 0.148
Ac 0.884 0.884 0.852
Dy 0.311 0.311 0.109
Dy 0.689 0.689 0.891
Y 0.057 0.057 0.699
Y 0.227 0.227 0.629
Y 0.415 0.415 0.554
Y 0.585 0.585 0.446
Y 0.773 0.773 0.371
Y 0.943 0.943 0.301


Entry 2:
Entry from the Alexandria database: crystalline AcDy12Y7 at its relaxed geometry (PBE).

Calculated values
ρ, Mg/m³: 6.352
Raw total energy, eV per atom: -4.538
Space group: Im-3m
D(E_F), states/eV/cell: 29.05

Unit cell a=9.833 b=9.833 c=9.833 alpha=109.47 beta=109.47 gamma=109.47
Atoms (fractional coordinates):
Ac 0.000 0.000 0.000
Dy 0.000 0.266 0.734
Dy 0.000 0.734 0.266
Dy 0.266 0.000 0.734
Dy 0.266 0.266 0.531
Dy 0.266 0.531 0.266
Dy 0.266 0.734 0.000
Dy 0.469 0.734 0.734
Dy 0.531 0.266 0.266
Dy 0.734 0.000 0.266
Dy 0.734 0.266 0.000
Dy 0.734 0.469 0.734
Dy 0.734 0.734 0.469
Y 0.000 0.000 0.500
Y 0.000 0.500 0.000
Y 0.000 0.500 0.500
Y 0.500 0.000 0.000
Y 0.500 0.000 0.500
Y 0.500 0.500 0.000
Y 0.500 0.500 0.500